(1)
The following is a DFT calculation (PBE) of a geometry-optimized Gd2CdAu structure.

For the uncorrected energy, the calculation gives -0.3121 Ha/atom. The value obtained for the energy above the lowest structure with this stoichiometry is 17.48 kJ/mol of atoms.

abc: 3.9154 3.9154 25.8462
angles: 90.00 90.00 120.00
Last column: nearest neighbours and their distance in Å.
Space group R-3m (No. 166, hexagonal axes)
Asymmetric unit:
Gd  0.0000  0.0000  0.2414 x6  3 Au 2.97, 3 Cd 3.28
Cd  0.0000  0.0000  0.0000 x3  6 Gd 3.28
Au  0.0000  0.0000  0.5000 x3  6 Gd 2.97


(2)
The following is a DFT calculation (PBE) of a geometry-optimized GdHoCdAu structure.

For the uncorrected energy, the calculation gives -0.2305 Ha/atom.

abc: 7.3507 7.3507 7.3507
angles: 90.00 90.00 90.00
Last column: nearest neighbours and their distance in Å.
Space group F-43m (No. 216)
Asymmetric unit:
Gd  0.0000  0.0000  0.0000 x4  4 Cd 3.18, 4 Au 3.18
Ho  0.0000  0.0000  0.5000 x4  4 Au 3.18, 4 Cd 3.18
Cd  0.2500  0.2500  0.2500 x4  4 Gd 3.18, 4 Ho 3.18
Au  0.2500  0.2500  0.7500 x4  4 Gd 3.18, 4 Ho 3.18


(3)
The following is a DFT calculation (PBE) of a geometry-optimized GdCdInAu structure.

For the uncorrected energy, the calculation gives -0.2109 Ha/atom.

abc: 7.1534 7.1534 7.1534
angles: 90.00 90.00 90.00
Last column: nearest neighbours and their distance in Å.
Space group F-43m (No. 216)
Asymmetric unit:
Gd  0.0000  0.0000  0.0000 x4  4 Cd 3.10, 4 Au 3.10
Cd  0.2500  0.2500  0.2500 x4  4 Gd 3.10, 4 In 3.10
In  0.0000  0.0000  0.5000 x4  4 Cd 3.10, 4 Au 3.10
Au  0.2500  0.2500  0.7500 x4  4 Gd 3.10, 4 In 3.10


(4)
The following is a DFT calculation (PBE) of a geometry-optimized GdCdIrAu structure.

For the uncorrected energy, the calculation gives -0.2642 Ha/atom.

abc: 6.8776 6.8776 6.8776
angles: 90.00 90.00 90.00
Last column: nearest neighbours and their distance in Å.
Space group F-43m (No. 216)
Asymmetric unit:
Gd  0.0000  0.0000  0.0000 x4  4 Au 2.98, 4 Ir 2.98
Cd  0.0000  0.0000  0.5000 x4  4 Ir 2.98, 4 Au 2.98
Ir  0.2500  0.2500  0.7500 x4  4 Cd 2.98, 4 Gd 2.98
Au  0.2500  0.2500  0.2500 x4  4 Cd 2.98, 4 Gd 2.98


(5)
The following is a DFT calculation (PBE) of a geometry-optimized GdLuCdAu structure.

For the uncorrected energy, the calculation gives -0.2299 Ha/atom.

abc: 7.3065 7.3065 7.3065
angles: 90.00 90.00 90.00
Last column: nearest neighbours and their distance in Å.
Space group F-43m (No. 216)
Asymmetric unit:
Gd  0.0000  0.0000  0.0000 x4  4 Au 3.16, 4 Cd 3.16
Lu  0.0000  0.0000  0.5000 x4  4 Cd 3.16, 4 Au 3.16
Cd  0.2500  0.2500  0.7500 x4  4 Gd 3.16, 4 Lu 3.16
Au  0.2500  0.2500  0.2500 x4  4 Gd 3.16, 4 Lu 3.16


(6)
The following is a DFT calculation (PBE) of a geometry-optimized GdMgCdAu structure.

For the uncorrected energy, the calculation gives -0.2019 Ha/atom.

abc: 7.1018 7.1018 7.1018
angles: 90.00 90.00 90.00
Last column: nearest neighbours and their distance in Å.
Space group F-43m (No. 216)
Asymmetric unit:
Gd  0.0000  0.0000  0.0000 x4  4 Cd 3.08, 4 Au 3.08
Mg  0.0000  0.0000  0.5000 x4  4 Cd 3.08, 4 Au 3.08
Cd  0.2500  0.2500  0.2500 x4  4 Mg 3.08, 4 Gd 3.08
Au  0.2500  0.2500  0.7500 x4  4 Gd 3.08, 4 Mg 3.08